(one)
## KNbTePdI (PBE-GGA)

Data for KNbTePdI after structural relaxation.

a b c (Å): 4.186 4.186 28.630
angles (deg): 90.00 90.00 120.00
Positions (direct):
Nb: 0.667 0.333 0.937
Te: 0.333 0.667 0.176
Te: 0.000 0.000 0.509
Te: 0.667 0.333 0.842
I: 0.000 0.000 0.000
I: 0.667 0.333 0.333
Nb: 0.333 0.667 0.270
K: 0.000 0.000 0.759
Pd: 0.667 0.333 0.563
I: 0.333 0.667 0.667
K: 0.667 0.333 0.092
Pd: 0.333 0.667 0.896
K: 0.333 0.667 0.426
Nb: 0.000 0.000 0.604
Pd: 0.000 0.000 0.229

**Space-group type**: No. 160

(two)
## KNbTePdI (PBE-GGA)

Data for KNbTePdI after structural relaxation.

a b c (Å): 4.138 4.138 9.691
angles (deg): 90.00 90.00 120.00
Positions (direct):
K: 0.333 0.667 0.489
Pd: 0.333 0.667 0.949
Te: 0.667 0.333 0.232
Nb: 0.000 0.000 0.061
I: 0.000 0.000 0.749

**Space-group type**: No. 156

If we sort the structures by their calculated energies, the order from most to least stable is (two), (one).

(one)
## KNbSbI2 (PBE-GGA)

Data for KNbSbI2 after structural relaxation.

a b c (Å): 5.891 5.891 5.384
angles (deg): 90.00 90.00 90.00
Positions (direct):
Sb: 0.000 0.000 0.500
Nb: 0.000 0.000 0.000
K: 0.500 0.500 0.500
I: 0.500 0.000 0.000
I: 0.000 0.500 0.000

**Space-group type**: No. 123

(two)
## KNbSbI2 (PBE-GGA)

Data for KNbSbI2 after structural relaxation.

a b c (Å): 6.174 6.174 6.301
angles (deg): 90.00 90.00 90.00
Positions (direct):
I: 0.000 0.500 0.000
Nb: 0.500 0.500 0.500
I: 0.500 0.000 0.000
K: 0.000 0.000 0.000
Sb: 0.000 0.000 0.500

**Space-group type**: No. 123

If we sort the structures by their calculated energies, the order from most to least stable is (one), (two).

(one)
## K3NdI6 (PBE-GGA)

Data for K3NdI6 after structural relaxation.

a b c (Å): 8.465 9.137 12.310
angles (deg): 90.00 89.02 90.00
Positions (direct):
K: 0.500 0.500 0.000
I: 0.857 0.946 0.234
I: 0.701 0.178 0.935
Nd: 0.500 0.500 0.500
K: 0.962 0.408 0.744
Nd: 0.000 0.000 0.000
I: 0.836 0.710 0.923
K: 0.538 0.908 0.756
I: 0.799 0.678 0.565
I: 0.357 0.554 0.734
I: 0.664 0.210 0.577
K: 0.462 0.092 0.244
K: 0.000 0.000 0.500
I: 0.143 0.054 0.766
I: 0.643 0.446 0.266
I: 0.201 0.322 0.435
I: 0.336 0.790 0.423
I: 0.299 0.822 0.065
I: 0.164 0.290 0.077
K: 0.038 0.592 0.256

**Space-group type**: No. 14

(two)
## K3NdI6 (PBE-GGA)

Data for K3NdI6 after structural relaxation.

a b c (Å): 9.119 9.119 9.119
angles (deg): 60.00 60.00 60.00
Positions (direct):
I: 0.240 0.240 0.760
I: 0.760 0.760 0.240
I: 0.760 0.240 0.240
I: 0.760 0.240 0.760
K: 0.750 0.750 0.750
I: 0.240 0.760 0.240
Nd: 0.000 0.000 0.000
I: 0.240 0.760 0.760
K: 0.500 0.500 0.500
K: 0.250 0.250 0.250

**Space-group type**: No. 225

If we sort the structures by their calculated energies, the order from most to least stable is (one), (two).

(one)
## K2RbNdI6 (PBE-GGA)

Data for K2RbNdI6 after structural relaxation.

a b c (Å): 8.822 8.823 9.288
angles (deg): 61.65 61.65 60.00
Positions (direct):
I: 0.689 0.130 0.773
I: 0.567 0.222 0.243
K: 0.525 0.524 0.427
I: 0.969 0.567 0.243
Nd: 0.325 0.325 0.025
I: 0.408 0.689 0.773
K: 0.013 0.013 0.960
I: 0.221 0.969 0.243
Rb: 0.815 0.815 0.555
I: 0.130 0.408 0.773

**Space-group type**: No. 146

(two)
## K2RbNdI6 (PBE-GGA)

Data for K2RbNdI6 after structural relaxation.

a b c (Å): 9.293 9.293 9.293
angles (deg): 60.00 60.00 60.00
Positions (direct):
I: 0.236 0.764 0.236
I: 0.764 0.764 0.236
I: 0.236 0.236 0.764
I: 0.236 0.764 0.764
K: 0.250 0.250 0.250
Rb: 0.500 0.500 0.500
I: 0.764 0.236 0.764
Nd: 0.000 0.000 0.000
K: 0.750 0.750 0.750
I: 0.764 0.236 0.236

**Space-group type**: No. 225

If we sort the structures by their calculated energies, the order from most to least stable is (one), (two).

(one)
## KNi2I (PBE-GGA)

Data for KNi2I after structural relaxation.

a b c (Å): 4.782 4.782 4.782
angles (deg): 60.00 60.00 60.00
Positions (direct):
Ni: 0.750 0.750 0.750
Ni: 0.250 0.250 0.250
I: 0.500 0.500 0.500
K: 0.000 0.000 0.000

**Space-group type**: No. 225

(two)
## KNi2I (PBE-GGA)

Data for KNi2I after structural relaxation.

a b c (Å): 5.140 5.140 8.953
angles (deg): 73.32 73.32 90.00
Positions (direct):
I: 0.000 0.000 0.000
Ni: 0.375 0.125 0.750
Ni: 0.875 0.625 0.250
Ni: 0.875 0.125 0.250
I: 0.750 0.250 0.500
K: 0.250 0.750 0.500
K: 0.500 0.500 0.000
Ni: 0.875 0.125 0.750

**Space-group type**: No. 141

If we sort the structures by their calculated energies, the order from most to least stable is (two), (one).

(one)
## KNi3I (PBE-GGA)

Data for KNi3I after structural relaxation.

a b c (Å): 4.749 4.749 4.749
angles (deg): 90.00 90.00 90.00
Positions (direct):
Ni: 0.000 0.000 0.500
I: 0.500 0.500 0.500
K: 0.000 0.000 0.000
Ni: 0.500 0.000 0.000
Ni: 0.000 0.500 0.000

**Space-group type**: No. 221

(two)
## KNi3I (PBE-GGA)

Data for KNi3I after structural relaxation.

a b c (Å): 4.785 4.785 4.785
angles (deg): 90.00 90.00 90.00
Positions (direct):
I: 0.000 0.000 0.000
Ni: 0.500 0.000 0.000
Ni: 0.000 0.500 0.000
K: 0.500 0.500 0.500
Ni: 0.000 0.000 0.500

**Space-group type**: No. 221

If we sort the structures by their calculated energies, the order from most to least stable is (two), (one).